(1)
Entry from Alexandria via LeMat-Bulk: Ac2PmNdTe5 after structural relaxation (PBE).

```
data_Ac2PmNdTe5
_cell_length_a 5.671
_cell_length_b 5.671
_cell_length_c 11.863
_cell_angle_alpha 90.00
_cell_angle_beta 90.00
_cell_angle_gamma 90.00
_symmetry_space_group_name_H-M 'P 1'
_symmetry_Int_Tables_number 1
loop_
_symmetry_equiv_pos_as_xyz
'x,y,z'
loop_
_atom_site_label
_atom_site_type_symbol
_atom_site_fract_x
_atom_site_fract_y
_atom_site_fract_z
_atom_site_occupancy
Ac1 Ac 0.500 0.500 0.310 1
Ac2 Ac 0.500 0.500 0.690 1
Pm1 Pm 0.000 0.000 0.000 1
Nd1 Nd 0.000 0.000 0.500 1
Te1 Te 0.000 0.500 0.500 1
Te2 Te 0.500 0.000 0.500 1
Te3 Te 0.000 0.000 0.755 1
Te4 Te 0.000 0.000 0.245 1
Te5 Te 0.500 0.500 0.000 1
```

Results
SG: No. 123
DFT total energy (eV/cell): -41.77

(2)
Entry from Alexandria via LeMat-Bulk: AcPm2NdTl4 after structural relaxation (PBE).

```
data_AcPm2NdTl4
_cell_length_a 5.596
_cell_length_b 5.596
_cell_length_c 9.700
_cell_angle_alpha 73.23
_cell_angle_beta 73.23
_cell_angle_gamma 60.00
_symmetry_space_group_name_H-M 'P 1'
_symmetry_Int_Tables_number 1
loop_
_symmetry_equiv_pos_as_xyz
'x,y,z'
loop_
_atom_site_label
_atom_site_type_symbol
_atom_site_fract_x
_atom_site_fract_y
_atom_site_fract_z
_atom_site_occupancy
Ac1 Ac 0.000 0.000 0.000 1
Pm1 Pm 0.751 0.751 0.748 1
Pm2 Pm 0.249 0.249 0.252 1
Nd1 Nd 0.500 0.500 0.500 1
Tl1 Tl 0.378 0.378 0.866 1
Tl2 Tl 0.873 0.873 0.382 1
Tl3 Tl 0.127 0.127 0.618 1
Tl4 Tl 0.622 0.622 0.134 1
```

Results
SG: No. 166
DFT total energy (eV/cell): -30.72

(3)
Entry from Alexandria via LeMat-Bulk: AcPmNdTl after structural relaxation (PBE).

```
data_AcPmNdTl
_cell_length_a 5.723
_cell_length_b 5.723
_cell_length_c 5.723
_cell_angle_alpha 60.00
_cell_angle_beta 60.00
_cell_angle_gamma 60.00
_symmetry_space_group_name_H-M 'P 1'
_symmetry_Int_Tables_number 1
loop_
_symmetry_equiv_pos_as_xyz
'x,y,z'
loop_
_atom_site_label
_atom_site_type_symbol
_atom_site_fract_x
_atom_site_fract_y
_atom_site_fract_z
_atom_site_occupancy
Ac1 Ac 0.500 0.500 0.500 1
Nd1 Nd 0.250 0.250 0.250 1
Tl1 Tl 0.000 0.000 0.000 1
Pm1 Pm 0.750 0.750 0.750 1
```

Results
Energy relative to the lowest polymorph listed for this composition (eV/atom): 0.157
SG: No. 216

(4)
Entry from Alexandria via LeMat-Bulk: AcPmNd2Tl2 after structural relaxation (PBE).

```
data_AcPmNd2Tl2
_cell_length_a 5.283
_cell_length_b 7.208
_cell_length_c 10.497
_cell_angle_alpha 90.00
_cell_angle_beta 90.00
_cell_angle_gamma 90.00
_symmetry_space_group_name_H-M 'P 1'
_symmetry_Int_Tables_number 1
loop_
_symmetry_equiv_pos_as_xyz
'x,y,z'
loop_
_atom_site_label
_atom_site_type_symbol
_atom_site_fract_x
_atom_site_fract_y
_atom_site_fract_z
_atom_site_occupancy
Ac1 Ac 0.000 0.951 0.451 1
Ac2 Ac 0.000 0.451 0.549 1
Pm1 Pm 0.500 0.174 0.696 1
Pm2 Pm 0.500 0.674 0.304 1
Nd1 Nd 0.500 0.060 0.048 1
Nd2 Nd 0.000 0.340 0.179 1
Nd3 Nd 0.500 0.560 0.952 1
Nd4 Nd 0.000 0.840 0.821 1
Tl1 Tl 0.000 0.296 0.870 1
Tl2 Tl 0.500 0.224 0.362 1
Tl3 Tl 0.000 0.796 0.130 1
Tl4 Tl 0.500 0.724 0.638 1
```

Results
SG: No. 26
DFT total energy (eV/cell): -49.17

(5)
Entry from Alexandria via LeMat-Bulk: AcPm2NdTl2 after structural relaxation (PBE).

```
data_AcPm2NdTl2
_cell_length_a 5.273
_cell_length_b 7.164
_cell_length_c 10.513
_cell_angle_alpha 90.00
_cell_angle_beta 90.00
_cell_angle_gamma 90.00
_symmetry_space_group_name_H-M 'P 1'
_symmetry_Int_Tables_number 1
loop_
_symmetry_equiv_pos_as_xyz
'x,y,z'
loop_
_atom_site_label
_atom_site_type_symbol
_atom_site_fract_x
_atom_site_fract_y
_atom_site_fract_z
_atom_site_occupancy
Ac1 Ac 0.000 0.950 0.452 1
Ac2 Ac 0.000 0.450 0.548 1
Pm1 Pm 0.500 0.058 0.047 1
Pm2 Pm 0.000 0.339 0.180 1
Pm3 Pm 0.500 0.558 0.953 1
Pm4 Pm 0.000 0.839 0.820 1
Nd1 Nd 0.500 0.179 0.696 1
Nd2 Nd 0.500 0.679 0.304 1
Tl1 Tl 0.000 0.297 0.873 1
Tl2 Tl 0.500 0.223 0.357 1
Tl3 Tl 0.000 0.797 0.127 1
Tl4 Tl 0.500 0.723 0.643 1
```

Results
SG: No. 26
DFT total energy (eV/cell): -49.14

(6)
Entry from Alexandria via LeMat-Bulk: AcPmNdTl after structural relaxation (PBE).

```
data_AcPmNdTl
_cell_length_a 4.028
_cell_length_b 7.003
_cell_length_c 5.803
_cell_angle_alpha 114.58
_cell_angle_beta 90.00
_cell_angle_gamma 106.71
_symmetry_space_group_name_H-M 'P 1'
_symmetry_Int_Tables_number 1
loop_
_symmetry_equiv_pos_as_xyz
'x,y,z'
loop_
_atom_site_label
_atom_site_type_symbol
_atom_site_fract_x
_atom_site_fract_y
_atom_site_fract_z
_atom_site_occupancy
Ac1 Ac 0.357 0.713 0.318 1
Pm1 Pm 0.576 0.151 0.037 1
Nd1 Nd 0.139 0.277 0.600 1
Tl1 Tl 0.859 0.718 0.820 1
```

Results
Energy relative to the lowest polymorph listed for this composition (eV/atom): 0.000
SG: No. 8

(7)
Entry from Alexandria via LeMat-Bulk: AcPmNdTm2 after structural relaxation (PBE).

```
data_AcPmNdTm2
_cell_length_a 6.438
_cell_length_b 6.568
_cell_length_c 9.337
_cell_angle_alpha 110.59
_cell_angle_beta 90.00
_cell_angle_gamma 90.00
_symmetry_space_group_name_H-M 'P 1'
_symmetry_Int_Tables_number 1
loop_
_symmetry_equiv_pos_as_xyz
'x,y,z'
loop_
_atom_site_label
_atom_site_type_symbol
_atom_site_fract_x
_atom_site_fract_y
_atom_site_fract_z
_atom_site_occupancy
Ac1 Ac 0.250 0.656 0.313 1
Ac2 Ac 0.750 0.344 0.687 1
Pm1 Pm 0.750 0.781 0.562 1
Pm2 Pm 0.250 0.219 0.438 1
Nd1 Nd 0.250 0.848 0.696 1
Nd2 Nd 0.750 0.152 0.304 1
Tm1 Tm 0.500 0.243 0.000 1
Tm2 Tm 0.000 0.757 0.000 1
Tm3 Tm 0.500 0.757 0.000 1
Tm4 Tm 0.000 0.243 0.000 1
```

Results
SG: No. 63
DFT total energy (eV/cell): -41.58

(8)
Entry from Alexandria via LeMat-Bulk: AcPmNd5Tm2 after structural relaxation (PBE).

```
data_AcPmNd5Tm2
_cell_length_a 5.598
_cell_length_b 12.474
_cell_length_c 9.557
_cell_angle_alpha 90.00
_cell_angle_beta 90.00
_cell_angle_gamma 102.97
_symmetry_space_group_name_H-M 'P 1'
_symmetry_Int_Tables_number 1
loop_
_symmetry_equiv_pos_as_xyz
'x,y,z'
loop_
_atom_site_label
_atom_site_type_symbol
_atom_site_fract_x
_atom_site_fract_y
_atom_site_fract_z
_atom_site_occupancy
Ac1 Ac 0.603 0.205 0.925 1
Ac2 Ac 0.397 0.795 0.425 1
Pm1 Pm 0.766 0.531 0.533 1
Pm2 Pm 0.234 0.469 0.033 1
Nd1 Nd 0.395 0.790 0.033 1
Nd2 Nd 0.741 0.481 0.855 1
Nd3 Nd 0.475 0.950 0.754 1
Nd4 Nd 0.312 0.624 0.726 1
Nd5 Nd 0.008 0.016 0.537 1
Nd6 Nd 0.605 0.210 0.533 1
Nd7 Nd 0.259 0.519 0.355 1
Nd8 Nd 0.525 0.050 0.254 1
Nd9 Nd 0.688 0.376 0.226 1
Nd10 Nd 0.992 0.984 0.037 1
Tm1 Tm 0.888 0.776 0.792 1
Tm2 Tm 0.173 0.347 0.669 1
Tm3 Tm 0.112 0.224 0.292 1
Tm4 Tm 0.827 0.653 0.169 1
```

Results
SG: No. 36
DFT total energy (eV/cell): -80.66